1.
Density functional theory data (PBEsol) for an optimized crystal structure of P2Pb8O13.

The structure in POSCAR format:
```
P2Pb8O13
1.0
-6.341 1.014 3.646
-2.979 -6.162 -2.772
3.222 -8.458 11.143
Pb O P
16 26 4
Direct
0.332 0.848 0.090
0.568 0.568 0.288
0.069 0.549 0.297
0.340 0.340 0.116
0.262 0.262 0.488
0.668 0.152 0.910
0.929 0.929 0.697
0.549 0.069 0.297
0.660 0.660 0.884
0.152 0.668 0.910
0.432 0.432 0.712
0.931 0.451 0.703
0.738 0.738 0.512
0.451 0.931 0.703
0.848 0.332 0.090
0.071 0.071 0.303
0.668 0.954 0.805
0.266 0.932 0.437
0.390 0.673 0.793
0.728 0.411 0.565
0.726 0.726 0.665
0.932 0.266 0.437
0.589 0.272 0.435
0.954 0.668 0.805
0.327 0.610 0.207
0.974 0.224 0.865
0.046 0.332 0.195
0.272 0.589 0.435
0.332 0.046 0.195
0.026 0.776 0.135
0.302 0.302 0.864
0.068 0.734 0.563
0.858 0.858 0.988
0.734 0.068 0.563
0.776 0.026 0.135
0.224 0.974 0.865
0.274 0.274 0.335
0.610 0.327 0.207
0.673 0.390 0.793
0.411 0.728 0.565
0.698 0.698 0.136
0.142 0.142 0.012
0.253 0.747 0.500
0.158 0.158 0.903
0.747 0.253 0.500
0.842 0.842 0.097
```

Values from the calculation:
Mass density = 8.28 g/cm³
Volume = 773.04 Å³/cell
Space-group type = C2/m (12)

2.
Density functional theory data (PBEsol) for an optimized crystal structure of P4Pb3O13.

The structure in POSCAR format:
```
P4Pb3O13
1.0
7.349 -0.009 0.019
-0.629 7.807 0.017
-2.484 -2.401 9.582
O P Pb
26 8 6
Direct
0.068 0.009 0.684
0.932 0.991 0.316
0.428 0.354 0.666
0.155 0.393 0.471
0.736 0.907 0.522
0.536 0.676 0.584
0.381 0.217 0.103
0.273 0.899 0.993
0.657 0.391 0.947
0.343 0.609 0.053
0.459 0.013 0.782
0.995 0.312 0.987
0.727 0.101 0.007
0.847 0.386 0.190
0.199 0.033 0.216
0.541 0.987 0.218
0.821 0.220 0.654
0.801 0.967 0.784
0.845 0.607 0.529
0.572 0.646 0.334
0.619 0.783 0.897
0.464 0.324 0.416
0.179 0.780 0.346
0.264 0.093 0.478
0.005 0.688 0.013
0.153 0.614 0.810
0.666 0.695 0.490
0.137 0.963 0.338
0.637 0.960 0.863
0.815 0.309 0.033
0.363 0.040 0.137
0.863 0.037 0.662
0.334 0.305 0.510
0.185 0.691 0.967
0.793 0.273 0.385
0.306 0.272 0.852
0.244 0.476 0.230
0.756 0.524 0.770
0.694 0.728 0.148
0.207 0.727 0.615
```

Values from the calculation:
Mass density = 5.75 g/cm³
Volume = 550.47 Å³/cell
Space-group type = P-1 (2)

| no. | ΔE_f (raw) (kJ/mol of formula units) | M_tot (μB/f.u.) |
| --- | --- | --- |
| 1 | -3441.5 | 0.0 |
| 2 | -3849.2 | 0.0 |